# Ca3PAu (PBE, optimized geometry)
# Density ... 3.66 g/cm³
# Offset from the most stable computed form ... 166 meV/atom
# Magnetization ... 0.00 Bohr magnetons per cell
# E_tot ... -3.55 eV per atom
data_Ca3PAu
_cell_length_a 5.407
_cell_length_b 5.407
_cell_length_c 5.407
_cell_angle_alpha 90.00
_cell_angle_beta 90.00
_cell_angle_gamma 90.00
_symmetry_space_group_name_H-M 'P m -3 m'
_symmetry_Int_Tables_number 221
_symmetry_space_group_name_Hall '-P 4 2 3'
loop_
_atom_site_label
_atom_site_fract_x
_atom_site_fract_y
_atom_site_fract_z
_atom_site_occupancy
Ca1 0.000 0.000 0.500 1
P1 0.000 0.000 0.000 1
Au1 0.500 0.500 0.500 1